Entry 1:
Y3VHg: optimized geometry, PBE.

ΔH_f (0 K) ... 0.3920 eV/atom

abc: 5.251 5.251 5.251
angles: 90.00 90.00 90.00
Fractional positions:
V  0.000  0.000  0.000
Y  0.000  0.000  0.500
Y  0.500  0.000  0.000
Hg  0.500  0.500  0.500
Y  0.000  0.500  0.000

Entry 2:
YVZn2Hg: optimized geometry, PBE.

ΔH_f (0 K) ... 1.2279 eV/atom

abc: 5.523 5.424 5.523
angles: 90.00 90.00 90.00
Site moments in Bohr magnetons follow the coordinates.
Fractional positions:
Hg  0.500  0.500  0.500  0.01
V  0.000  0.500  0.000  2.86
Zn  0.000  0.000  0.500  0.02
Y  0.000  0.000  0.000  0.25
Zn  0.500  0.000  0.000  0.01

Entry 3:
V2Zn2Hg: optimized geometry, PBE.

ΔH_f (0 K) ... 0.3394 eV/atom

abc: 7.106 7.106 3.069
angles: 90.00 90.00 90.00
Site moments in Bohr magnetons follow the coordinates.
Fractional positions:
Zn  0.122  0.378  0.000  0.00
Zn  0.878  0.622  0.000  0.00
V  0.325  0.175  0.500  0.41
Zn  0.378  0.878  0.000  0.00
Zn  0.622  0.122  0.000  0.00
Hg  0.500  0.500  0.000  -0.02
V  0.175  0.675  0.500  0.41
Hg  0.000  0.000  0.000  -0.02
V  0.675  0.825  0.500  0.41
V  0.825  0.325  0.500  0.41

Entry 4:
VZn2Hg: optimized geometry, PBE.

ΔH_f (0 K) ... 0.4427 eV/atom

abc: 7.330 7.330 5.887
angles: 51.50 51.50 90.00
Site moments in Bohr magnetons follow the coordinates.
Fractional positions:
Zn  0.875  0.871  0.750  0.00
Hg  0.000  0.000  0.000  0.04
Hg  0.750  0.250  0.500  0.04
V  0.250  0.750  0.500  2.46
Zn  0.621  0.125  0.250  0.00
Zn  0.375  0.379  0.750  0.00
V  0.500  0.500  0.000  2.46
Zn  0.129  0.625  0.250  0.00

Entry 5:
V2ZnHg: optimized geometry, PBE.

ΔH_f (0 K) ... 0.4269 eV/atom

abc: 4.473 4.473 4.473
angles: 60.00 60.00 60.00
Site moments in Bohr magnetons follow the coordinates.
Fractional positions:
V  0.750  0.750  0.750  0.84
Hg  0.500  0.500  0.500  -0.02
V  0.250  0.250  0.250  0.84
Zn  0.000  0.000  0.000  -0.01

Entry 6:
VZnHg2: optimized geometry, PBE.

ΔH_f (0 K) ... 0.5932 eV/atom

abc: 3.010 3.010 10.635
angles: 81.86 81.86 60.00
Site moments in Bohr magnetons follow the coordinates.
Fractional positions:
Zn  0.500  0.500  0.500  -0.01
Hg  0.912  0.912  0.265  0.01
V  0.000  0.000  0.000  1.98
Hg  0.088  0.088  0.735  0.01

Entry 7:
VZn2Hg: optimized geometry, PBE.

ΔH_f (0 K) ... 0.5539 eV/atom

abc: 2.856 2.856 10.322
angles: 82.05 82.05 60.00
Site moments in Bohr magnetons follow the coordinates.
Fractional positions:
Zn  0.916  0.916  0.251  0.00
Hg  0.500  0.500  0.500  -0.01
Zn  0.084  0.084  0.749  0.00
V  0.000  0.000  0.000  0.81

Entry 8:
VZn2Hg: optimized geometry, PBE.

ΔH_f (0 K) ... 0.1529 eV/atom

abc: 3.895 4.047 4.047
angles: 90.00 90.00 90.00
Site moments in Bohr magnetons follow the coordinates.
Fractional positions:
Zn  0.000  0.500  0.000  -0.01
Zn  0.000  0.000  0.500  -0.01
V  0.500  0.500  0.500  0.48
Hg  0.500  0.000  0.000  -0.01

Entry 9:
V2Zn2Hg: optimized geometry, PBE.

ΔH_f (0 K) ... 0.2963 eV/atom

abc: 7.231 7.231 3.169
angles: 90.00 90.00 90.00
Fractional positions:
Hg  0.000  0.000  0.000
Hg  0.500  0.500  0.000
V  0.596  0.096  0.000
V  0.096  0.404  0.000
Zn  0.802  0.302  0.500
Zn  0.698  0.802  0.500
Zn  0.198  0.698  0.500
V  0.904  0.596  0.000
V  0.404  0.904  0.000
Zn  0.302  0.198  0.500

Entry 10:
VZnHg2: optimized geometry, PBE.

ΔH_f (0 K) ... 0.4977 eV/atom

abc: 4.154 4.154 10.270
angles: 78.33 78.33 90.00
Site moments in Bohr magnetons follow the coordinates.
Fractional positions:
Hg  0.126  0.625  0.250  0.01
Zn  0.000  0.000  0.000  -0.01
V  0.250  0.750  0.500  2.57
Hg  0.624  0.125  0.250  0.01
Zn  0.750  0.250  0.500  -0.01
Hg  0.875  0.874  0.750  0.01
Hg  0.375  0.376  0.750  0.01
V  0.500  0.500  0.000  2.57

Entry 11:
VZn3Hg: optimized geometry, PBE.

ΔH_f (0 K) ... 0.7384 eV/atom

abc: 5.078 5.078 5.078
angles: 90.00 90.00 90.00
Site moments in Bohr magnetons follow the coordinates.
Fractional positions:
Zn  0.000  0.000  0.500  0.09
Zn  0.000  0.500  0.000  0.09
V  0.000  0.000  0.000  2.91
Hg  0.500  0.500  0.500  0.06
Zn  0.500  0.000  0.000  0.09

Entry 12:
V2ZnHg: optimized geometry, PBE.

ΔH_f (0 K) ... 0.6691 eV/atom

abc: 7.198 7.198 5.712
angles: 50.94 50.94 90.00
Fractional positions:
Zn  0.250  0.750  0.500
Hg  0.000  0.000  0.000
V  0.136  0.625  0.250
Zn  0.500  0.500  0.000
Hg  0.750  0.250  0.500
V  0.614  0.125  0.250
V  0.875  0.864  0.750
V  0.375  0.386  0.750

Entry 13:
VZnHg: optimized geometry, PBE.

ΔH_f (0 K) ... 0.2340 eV/atom

abc: 5.945 5.133 7.671
angles: 103.07 112.84 29.78
Fractional positions:
V  0.781  0.557  0.723
Hg  0.974  0.017  0.415
V  0.265  0.427  0.710
Zn  0.613  0.929  0.058
Hg  0.072  0.967  0.019
Zn  0.433  0.055  0.376

Entry 14:
Zr2VHg: optimized geometry, PBE.

ΔH_f (0 K) ... 0.4439 eV/atom

abc: 3.012 3.012 10.809
angles: 81.99 81.99 60.00
Site moments in Bohr magnetons follow the coordinates.
Fractional positions:
Zr  0.084  0.084  0.748  0.04
Zr  0.916  0.916  0.252  0.04
Hg  0.500  0.500  0.500  0.03
V  0.000  0.000  0.000  0.62

Entry 15:
ZrV2Hg: optimized geometry, PBE.

ΔH_f (0 K) ... 0.6496 eV/atom

abc: 3.971 3.971 10.112
angles: 78.68 78.68 90.00
Fractional positions:
Zr  0.500  0.500  0.000
V  0.375  0.391  0.750
Hg  0.000  0.000  0.000
Zr  0.250  0.750  0.500
Hg  0.750  0.250  0.500
V  0.609  0.125  0.250
V  0.141  0.625  0.250
V  0.875  0.859  0.750

Entry 16:
Zr2VHg: optimized geometry, PBE.

ΔH_f (0 K) ... -0.0227 eV/atom

abc: 3.370 3.370 7.097
angles: 90.00 90.00 90.00
Fractional positions:
Zr  0.000  0.000  0.779
Zr  0.000  0.000  0.221
Hg  0.500  0.500  0.500
V  0.500  0.500  0.000

Entry 17:
ZrV4Hg: optimized geometry, PBE.

ΔH_f (0 K) ... 0.1298 eV/atom

abc: 5.159 5.159 5.159
angles: 60.00 60.00 60.00
Fractional positions:
V  0.115  0.628  0.628
V  0.628  0.115  0.628
V  0.628  0.628  0.628
Hg  0.250  0.250  0.250
Zr  0.000  0.000  0.000
V  0.628  0.628  0.115

Entry 18:
Zr2VHg: optimized geometry, PBE.

ΔH_f (0 K) ... 0.5873 eV/atom

abc: 4.108 4.108 10.691
angles: 78.92 78.92 90.00
Site moments in Bohr magnetons follow the coordinates.
Fractional positions:
V  0.250  0.750  0.500  1.57
Zr  0.375  0.381  0.750  -0.08
Zr  0.131  0.625  0.250  -0.08
Hg  0.750  0.250  0.500  -0.01
Zr  0.875  0.869  0.750  -0.08
Hg  0.000  0.000  0.000  -0.01
V  0.500  0.500  0.000  1.57
Zr  0.619  0.125  0.250  -0.08

Entry 19:
ZrVHg3: optimized geometry, PBE.

ΔH_f (0 K) ... 0.8418 eV/atom

abc: 5.063 5.063 5.063
angles: 90.00 90.00 90.00
Site moments in Bohr magnetons follow the coordinates.
Fractional positions:
Zr  0.500  0.500  0.500  -0.88
Hg  0.000  0.000  0.500  0.07
Hg  0.000  0.500  0.000  0.07
V  0.000  0.000  0.000  2.23
Hg  0.500  0.000  0.000  0.07

Entry 20:
Zr2VHg: optimized geometry, PBE.

ΔH_f (0 K) ... 0.0560 eV/atom

abc: 4.071 4.444 4.444
angles: 90.00 90.00 90.00
Site moments in Bohr magnetons follow the coordinates.
Fractional positions:
Zr  0.000  0.000  0.500  -0.12
Zr  0.000  0.500  0.000  -0.12
Hg  0.500  0.500  0.500  -0.03
V  0.500  0.000  0.000  1.54

Entry 21:
Zr3VHg: optimized geometry, PBE.

ΔH_f (0 K) ... 0.5398 eV/atom

abc: 4.885 4.885 4.885
angles: 90.00 90.00 90.00
Fractional positions:
Zr  0.000  0.500  0.000
Zr  0.500  0.000  0.000
Zr  0.000  0.000  0.500
Hg  0.500  0.500  0.500
V  0.000  0.000  0.000

Entry 22:
Zr3VHg: optimized geometry, PBE.

ΔH_f (0 K) ... 1.3259 eV/atom

abc: 5.249 5.249 5.249
angles: 90.00 90.00 90.00
Site moments in Bohr magnetons follow the coordinates.
Fractional positions:
Zr  0.000  0.000  0.500  0.12
V  0.500  0.500  0.500  2.77
Zr  0.000  0.500  0.000  0.12
Hg  0.000  0.000  0.000  0.05
Zr  0.500  0.000  0.000  0.12

Entry 23:
ZrVHg2: optimized geometry, PBE.

ΔH_f (0 K) ... 0.1510 eV/atom

abc: 4.862 4.862 4.862
angles: 60.00 60.00 60.00
Site moments in Bohr magnetons follow the coordinates.
Fractional positions:
V  0.000  0.000  0.000  2.56
Zr  0.500  0.500  0.500  0.21
Hg  0.750  0.750  0.750  0.01
Hg  0.250  0.250  0.250  0.01

Entry 24:
ZrVHg2: optimized geometry, PBE.

ΔH_f (0 K) ... 0.4654 eV/atom

abc: 7.689 7.689 6.154
angles: 51.34 51.34 90.00
Site moments in Bohr magnetons follow the coordinates.
Fractional positions:
Hg  0.152  0.625  0.250  -0.01
Hg  0.375  0.402  0.750  -0.01
Zr  0.750  0.250  0.500  -0.22
V  0.250  0.750  0.500  1.03
V  0.500  0.500  0.000  1.03
Zr  0.000  0.000  0.000  -0.22
Hg  0.875  0.848  0.750  -0.01
Hg  0.598  0.125  0.250  -0.01

Entry 25:
Zr4VHg2: optimized geometry, PBE.

ΔH_f (0 K) ... 0.4454 eV/atom

abc: 4.708 4.708 8.259
angles: 73.44 73.44 90.00
Fractional positions:
V  0.000  0.000  0.000
Zr  0.500  0.000  0.000
Hg  0.366  0.366  0.268
Zr  0.822  0.822  0.355
Hg  0.634  0.634  0.732
Zr  0.000  0.500  0.000
Zr  0.178  0.178  0.645

Entry 26:
HgW2: optimized geometry, PBE.

ΔH_f (0 K) ... 0.8090 eV/atom

abc: 5.509 5.509 5.509
angles: 54.82 54.82 54.82
Fractional positions:
W  0.000  0.000  0.000
W  0.160  0.500  0.840
W  0.840  0.160  0.500
W  0.500  0.840  0.160
Hg  0.334  0.334  0.334
Hg  0.666  0.666  0.666

Entry 27:
Hg5W: optimized geometry, PBE.

ΔH_f (0 K) ... 0.4514 eV/atom

abc: 3.016 3.016 17.386
angles: 90.00 90.00 120.00
Fractional positions:
Hg  0.667  0.333  0.812
Hg  0.000  0.000  0.361
W  0.667  0.333  0.500
Hg  0.667  0.333  0.188
Hg  0.000  0.000  0.639
Hg  0.000  0.000  0.000